[1]
TmCoI | PBE | relaxed

Properties
uncorrected energy = -4.414 eV per atom
density = 9.79 g/cm³

abc: 7.0574 7.0574 4.1841
angles: 90.00 90.00 120.00
Space group P-62m (No. 189)
Symmetry-distinct sites (fractional):
Tm: 0.0000 0.6179 0.0000 x3
Co: 0.0000 0.0000 0.0000 x1
Co: 0.3333 0.6667 0.5000 x2
I: 0.0000 0.2947 0.5000 x3

[2]
LiYCuB | PBE | relaxed

Properties
uncorrected energy = -4.463 eV per atom
density = 5.06 g/cm³

abc: 6.0684 6.0684 6.0684
angles: 90.00 90.00 90.00
Space group F-43m (No. 216)
Symmetry-distinct sites (fractional):
Li: 0.0000 0.0000 0.0000 x4
Y: 0.2500 0.2500 0.7500 x4
Cu: 0.0000 0.0000 0.5000 x4
B: 0.2500 0.2500 0.2500 x4

[3]
MgTa2Sb3Ir3 | PBE | relaxed

Properties
uncorrected energy = -7.679 eV per atom
density = 12.06 g/cm³

abc: 7.6547 13.2503 7.6545
angles: 90.00 109.52 90.00
Space group Cc (No. 9)
Symmetry-distinct sites (fractional):
Mg: 0.0000 0.0852 0.0000 x4
Ta: 0.4963 0.0831 0.4954 x4
Ta: 0.4977 0.2484 0.9954 x4
Sb: 0.2345 0.0802 0.7522 x4
Sb: 0.2500 0.2532 0.2430 x4
Sb: 0.2588 0.4226 0.7441 x4
Ir: 0.1044 0.4166 0.3640 x4
Ir: 0.1284 0.2594 0.8636 x4
Ir: 0.1358 0.0932 0.3854 x4

[4]
Sr3Mo2P4 | PBE | relaxed

Properties
uncorrected energy = -6.084 eV per atom
density = 4.16 g/cm³

abc: 7.3795 15.2568 4.1062
angles: 90.00 90.00 90.00
Space group Pnnm (No. 58)
Symmetry-distinct sites (fractional):
Sr: 0.0000 0.0000 0.0000 x2
Sr: 0.1695 0.2824 0.5000 x4
Mo: 0.1088 0.5757 0.0000 x4
P: 0.2034 0.6390 0.5000 x4
P: 0.2161 0.4281 0.0000 x4